(1)
VASP calculation (PBE) on an optimized crystal structure of GaNiOs.

Values from the calculation:
crystal system: hexagonal
raw total energy: -6.6723 eV/atom
SG: P-6m2

extended XYZ file:
```
6
Lattice="2.772 0.000 0.000 -1.386 2.401 0.000 0.000 0.000 12.047" Properties=species:S:1:pos:R:3 pbc="T T T"
Ni 1.386 0.533 8.045
Ni 1.386 0.533 4.001
Ga 0.000 1.334 2.105
Ga 0.000 1.334 9.942
Os 1.386 0.534 0.000
Os 0.000 1.333 6.023
```

---

(2)
VASP calculation (PBE) on an optimized crystal structure of PuScW.

Values from the calculation:
crystal system: orthorhombic
raw total energy: -10.9141 eV/atom
SG: Cmcm

extended XYZ file:
```
6
Lattice="-3.633 -2.430 -1.726 1.910 -3.940 1.527 -0.942 1.806 5.839" Properties=species:S:1:pos:R:3 pbc="T T T"
W -0.926 -0.684 2.912
W -1.740 -3.879 2.728
Sc -3.527 -1.731 3.465
Sc 0.861 -2.832 2.175
Pu -1.881 -2.084 0.496
Pu -0.785 -2.480 5.144
```

---

(3)
VASP calculation (PBE) on an optimized crystal structure of Th2Hg3I8.

Values from the calculation:
crystal system: monoclinic
SG: C2/m
ΔE_f (raw): -1087 kJ/mol of formula units

extended XYZ file:
```
13
Lattice="5.809 0.347 1.929 1.455 10.267 7.916 0.296 2.250 12.847" Properties=species:S:1:pos:R:3 pbc="T T T"
I 3.626 6.638 6.391
I 1.139 7.557 12.555
I 3.934 6.227 16.301
I 2.959 2.020 9.232
I 6.422 5.307 10.138
I 5.905 3.285 6.728
I 4.601 10.845 13.461
I 1.655 9.580 15.964
Hg 1.248 8.832 8.799
Hg 0.504 3.685 11.965
Hg 2.905 0.173 0.964
Th 4.901 9.240 16.175
Th 2.660 3.625 6.518
```